VASP calculation (PBE) on Rb2InAsH after structural relaxation.

SG: No. 11
VASP energy: -2.765 eV/atom

Cell: 7.2998 5.3633 8.4347 Å, 90.00 106.51 90.00°
Sites, in units of the cell vectors:
Rb1 0.1031 0.2500 0.3655
Rb2 0.2637 0.2500 0.9442
Rb3 0.7363 0.7500 0.0558
Rb4 0.8969 0.7500 0.6345
In1 0.4471 0.7500 0.3452
In2 0.5529 0.2500 0.6548
As1 0.4067 0.7500 0.6734
As2 0.5933 0.2500 0.3266
H1 0.1729 0.7500 0.2022
H2 0.8271 0.2500 0.7978